Record 1
Here is a relaxed structure of BaTa2Hg from OQMD. Energies are from PBE-GGA.

abc: 7.2114 7.2114 7.2114
angles: 90.00 90.00 90.00
Space group F-43m (No. 216)
Asymmetric unit:
Ba: 0.0000 0.0000 0.0000 x4
Ta: 0.0000 0.0000 0.5000 x4
Ta: 0.2500 0.2500 0.7500 x4
Hg: 0.2500 0.2500 0.2500 x4

total magnetization = 0.0 Bohr magnetons per cell

Record 2
Here is a relaxed structure of BaTbHg from OQMD. Energies are from PBE-GGA.

abc: 7.6589 7.6589 7.6589
angles: 90.00 90.00 90.00
Space group F-43m (No. 216)
Asymmetric unit:
Ba: 0.0000 0.0000 0.0000 x4
Tb: 0.2500 0.2500 0.2500 x4
Hg: 0.2500 0.2500 0.7500 x4

total magnetization = 0.0 Bohr magnetons per cell

Record 3
Here is a relaxed structure of BaHgTe from OQMD. Energies are from PBE-GGA.

abc: 8.0979 8.0979 8.0979
angles: 90.00 90.00 90.00
Space group F-43m (No. 216)
Asymmetric unit:
Ba: 0.0000 0.0000 0.0000 x4
Hg: 0.0000 0.0000 0.5000 x4
Te: 0.2500 0.2500 0.2500 x4

excess energy over the best structure of this formula in the dataset = 0.0 kJ/mol of atoms

Record 4
Here is a relaxed structure of BaZnHgTe3 from OQMD. Energies are from PBE-GGA.

abc: 4.4822 14.6518 12.0235
angles: 90.00 90.00 90.00
Space group Cmcm (No. 63)
Asymmetric unit:
Ba: 0.0000 0.2470 0.2500 x4
Zn: 0.0000 0.4610 0.7500 x4
Hg: 0.0000 0.0000 0.0000 x4
Te: 0.0000 0.0679 0.7500 x4
Te: 0.0000 0.3632 0.5614 x8

excess energy over the best structure of this formula in the dataset = 0.0 kJ/mol of atoms

Record 5
Here is a relaxed structure of BaZnHgTe3 from OQMD. Energies are from PBE-GGA.

abc: 4.4129 14.8943 11.9172
angles: 90.00 90.00 90.00
Space group Cmcm (No. 63)
Asymmetric unit:
Ba: 0.0000 0.2329 0.2500 x4
Zn: 0.0000 0.0000 0.0000 x4
Hg: 0.0000 0.4670 0.7500 x4
Te: 0.0000 0.0877 0.7500 x4
Te: 0.0000 0.3727 0.5434 x8

excess energy over the best structure of this formula in the dataset = 6.6 kJ/mol of atoms

Record 6
Here is a relaxed structure of BaThHg from OQMD. Energies are from PBE-GGA.

abc: 7.7449 7.7449 7.7449
angles: 90.00 90.00 90.00
Space group F-43m (No. 216)
Asymmetric unit:
Ba: 0.0000 0.0000 0.0000 x4
Th: 0.0000 0.0000 0.5000 x4
Hg: 0.2500 0.2500 0.2500 x4

excess energy over the best structure of this formula in the dataset = 0.0 kJ/mol of atoms
total magnetization = 0.6 Bohr magnetons per cell

Record 7
Here is a relaxed structure of BaTl2Hg2 from OQMD. Energies are from PBE-GGA.

abc: 10.7536 10.7536 5.2023
angles: 90.00 90.00 90.00
Space group P4_2/mnm (No. 136)
Asymmetric unit:
Ba: 0.1494 0.1494 0.0000 x4
Tl: 0.0290 0.3579 0.5000 x8
Hg: 0.0953 0.9047 0.5000 x4
Hg: 0.1853 0.8147 0.0000 x4

Record 8
Here is a relaxed structure of BaTl2Hg2 from OQMD. Energies are from PBE-GGA.

abc: 4.8741 4.8741 12.9949
angles: 90.00 90.00 90.00
Space group I4/mmm (No. 139)
Asymmetric unit:
Ba: 0.0000 0.0000 0.0000 x2
Tl: 0.0000 0.5000 0.2500 x4
Hg: 0.0000 0.0000 0.3911 x4

Record 9
Here is a relaxed structure of BaTlHg from OQMD. Energies are from PBE-GGA.

abc: 5.2729 8.3906 8.9776
angles: 90.00 90.00 90.00
Space group Imm2 (No. 44)
Asymmetric unit:
Ba: 0.0000 0.0000 0.0000 x2
Ba: 0.0000 0.5000 0.0712 x2
Tl: 0.0000 0.3050 0.7039 x4
Hg: 0.0000 0.2131 0.3734 x4

excess energy over the best structure of this formula in the dataset = 0.0 kJ/mol of atoms

Record 10
Here is a relaxed structure of Ba2TlHg2 from OQMD. Energies are from PBE-GGA.

abc: 4.6493 4.6493 17.1534
angles: 90.00 90.00 90.00
Space group I4/mmm (No. 139)
Asymmetric unit:
Ba: 0.0000 0.0000 0.1051 x4
Tl: 0.0000 0.0000 0.5000 x2
Hg: 0.0000 0.5000 0.2500 x4

Record 11
Here is a relaxed structure of BaTl2Hg2 from OQMD. Energies are from PBE-GGA.

abc: 5.1184 5.1184 12.3243
angles: 90.00 90.00 90.00
Space group I4/mmm (No. 139)
Asymmetric unit:
Ba: 0.0000 0.0000 0.0000 x2
Tl: 0.0000 0.0000 0.3789 x4
Hg: 0.0000 0.5000 0.2500 x4

Record 12
Here is a relaxed structure of Ba2Tl3Hg from OQMD. Energies are from PBE-GGA.

abc: 12.2916 5.3029 8.5217
angles: 90.00 133.65 90.00
Space group Cm (No. 8)
Asymmetric unit:
Ba: 0.0000 0.0000 0.0000 x2
Ba: 0.0859 0.0000 0.5898 x2
Tl: 0.2009 0.5000 0.0040 x2
Tl: 0.2086 0.5000 0.3971 x2
Tl: 0.3808 0.0000 0.1994 x2
Hg: 0.3732 0.0000 0.5702 x2

Calculated total energy values (in eV/atom) by entry order: -5.573 -1.793 -2.713 -2.810 -2.741 -2.908 -1.761 -1.748 -1.975 -1.656 -1.718 -2.281.